1.
Below is a geometry-optimized Sc4Rh structure, with properties calculated at the PBEsol level.

Geometry as CIF:
```
data_Sc4Rh
_cell_length_a 7.893
_cell_length_b 7.893
_cell_length_c 3.295
_cell_angle_alpha 90.00
_cell_angle_beta 90.00
_cell_angle_gamma 90.00
_space_group_name_H-M_alt 'P 1'
_space_group_IT_number 1
_space_group_name_Hall 'P 1'
loop_
_atom_site_label
_atom_site_fract_x
_atom_site_fract_y
_atom_site_fract_z
Sc1 0.082 0.266 0.000
Sc2 0.234 0.582 0.500
Sc3 0.266 0.918 0.000
Sc4 0.418 0.234 0.500
Sc5 0.582 0.766 0.500
Sc6 0.734 0.082 0.000
Sc7 0.766 0.418 0.500
Sc8 0.918 0.734 0.000
Rh1 0.000 0.000 0.500
Rh2 0.500 0.500 0.000
```

Results
Its formation energy is -1.95 eV/f.u. Its density is 4.6 g/cm3. The value obtained for the calculated total energy is -0.53669 Ry per atom.

2.
Below is a geometry-optimized K2TlW structure, with properties calculated at the PBEsol level.

Geometry as CIF:
```
data_K2TlW
_cell_length_a 3.060
_cell_length_b 3.060
_cell_length_c 37.068
_cell_angle_alpha 90.00
_cell_angle_beta 90.00
_cell_angle_gamma 120.00
_space_group_name_H-M_alt 'P 1'
_space_group_IT_number 1
_space_group_name_Hall 'P 1'
loop_
_atom_site_label
_atom_site_fract_x
_atom_site_fract_y
_atom_site_fract_z
K1 0.000 0.000 0.246
K2 0.000 0.000 0.754
K3 0.333 0.667 0.420
K4 0.333 0.667 0.913
K5 0.667 0.333 0.087
K6 0.667 0.333 0.580
Tl1 0.000 0.000 0.000
Tl2 0.333 0.667 0.667
Tl3 0.667 0.333 0.333
W1 0.000 0.000 0.500
W2 0.333 0.667 0.167
W3 0.667 0.333 0.833
```

Results
Its formation energy is 4.52 eV/f.u. Its density is 7.7 g/cm3. The value obtained for the calculated total energy is -0.26063 Ry per atom.

3.
Below is a geometry-optimized TcAsBr2 structure, with properties calculated at the PBEsol level.

Geometry as CIF:
```
data_TcAsBr2
_cell_length_a 3.311
_cell_length_b 3.311
_cell_length_c 25.991
_cell_angle_alpha 90.00
_cell_angle_beta 90.00
_cell_angle_gamma 120.00
_space_group_name_H-M_alt 'P 1'
_space_group_IT_number 1
_space_group_name_Hall 'P 1'
loop_
_atom_site_label
_atom_site_fract_x
_atom_site_fract_y
_atom_site_fract_z
Tc1 0.000 0.000 0.000
Tc2 0.333 0.667 0.667
Tc3 0.667 0.333 0.333
As1 0.000 0.000 0.273
As2 0.333 0.667 0.940
As3 0.667 0.333 0.607
Br1 0.000 0.000 0.527
Br2 0.000 0.000 0.738
Br3 0.333 0.667 0.193
Br4 0.333 0.667 0.404
Br5 0.667 0.333 0.071
Br6 0.667 0.333 0.860
```

Results
Its formation energy (no corrections) is 72 meV per atom. Its density is 6.7 g/cm3. The value obtained for the calculated total energy is -0.36425 Ry per atom.

4.
Below is a geometry-optimized Tc2Os2F structure, with properties calculated at the PBEsol level.

Geometry as CIF:
```
data_Tc2Os2F
_cell_length_a 3.990
_cell_length_b 3.990
_cell_length_c 10.621
_cell_angle_alpha 90.00
_cell_angle_beta 90.00
_cell_angle_gamma 90.00
_space_group_name_H-M_alt 'P 1'
_space_group_IT_number 1
_space_group_name_Hall 'P 1'
loop_
_atom_site_label
_atom_site_fract_x
_atom_site_fract_y
_atom_site_fract_z
Tc1 0.000 0.500 0.250
Tc2 0.000 0.500 0.750
Tc3 0.500 0.000 0.250
Tc4 0.500 0.000 0.750
Os1 0.000 0.000 0.116
Os2 0.000 0.000 0.884
Os3 0.500 0.500 0.384
Os4 0.500 0.500 0.616
F1 0.000 0.000 0.500
F2 0.500 0.500 0.000
```

Results
Its formation energy (no corrections) is 751 meV per atom. Its density is 11.7 g/cm3. The value obtained for the calculated total energy is -0.66349 Ry per atom.